(1)
A plane-wave DFT calculation with PBE-GGA was carried out for NaMnPbI5 after structural relaxation.

calculated total energy: -3.4261 eV per atom
uncorrected formation energy: -0.683 eV per atom
M_tot: 5.0 μB/f.u.

The structure in POSCAR format:
```
NaMnPbI5
1.0
-7.184 -0.234 -4.256
0.868 -7.906 2.554
-2.290 6.080 9.559
Na Pb I Mn
2 2 10 2
Direct
0.355 0.645 0.250
0.645 0.355 0.750
0.000 0.000 0.500
0.000 0.000 0.000
0.354 0.935 0.652
0.889 0.111 0.750
0.714 0.619 0.439
0.111 0.889 0.250
0.065 0.646 0.848
0.381 0.286 0.061
0.646 0.065 0.348
0.286 0.381 0.561
0.619 0.714 0.939
0.935 0.354 0.152
0.324 0.676 0.750
0.676 0.324 0.250
```


(2)
A plane-wave DFT calculation with PBE-GGA was carried out for Mn2InCo after structural relaxation.

calculated total energy: -6.5255 eV per atom
ΔH_f (0 K): 2.1 eV per formula unit
M_tot: 8.0 μB/f.u.

The structure in POSCAR format:
```
Mn2InCo
1.0
7.018 0.000 0.000
0.000 7.018 0.000
3.509 3.509 2.618
In Mn Co
2 4 2
Direct
0.000 0.000 0.000
0.750 0.250 0.500
0.375 0.420 0.750
0.580 0.125 0.250
0.875 0.830 0.750
0.170 0.625 0.250
0.500 0.500 0.000
0.250 0.750 0.500
```